(1)
The following is a DFT calculation (GGA-PBE) of crystalline Sr2AcPbS4 at its relaxed geometry. Values from VASP.

The structure in Quantum ESPRESSO input format:
```
&SYSTEM
  ibrav = 0, nat = 8, ntyp = 4
/
ATOMIC_SPECIES
Sr 87.62 Sr.upf
S 32.06 S.upf
Pb 207.20 Pb.upf
Ac 227.00 Ac.upf
CELL_PARAMETERS angstrom
4.308 0.000 0.000
0.000 7.412 0.114
0.000 -2.606 6.953
ATOMIC_POSITIONS crystal
Sr 0.500 0.000 0.500
Sr 0.000 0.500 0.500
S 0.500 0.252 0.250
S 0.500 0.748 0.750
S 0.000 0.250 0.748
S 0.000 0.750 0.252
Pb 0.000 0.000 0.000
Ac 0.500 0.500 0.000
```

ρ ... 5.49 Mg/m³
Raw formation energy ... -1664 meV/atom

(2)
The following is a DFT calculation (GGA-PBE) of crystalline Ac4Te2PbS at its relaxed geometry. Values from VASP.

The structure in Quantum ESPRESSO input format:
```
&SYSTEM
  ibrav = 0, nat = 8, ntyp = 4
/
ATOMIC_SPECIES
Ac 227.00 Ac.upf
Pb 207.20 Pb.upf
S 32.06 S.upf
Te 127.60 Te.upf
CELL_PARAMETERS angstrom
-3.167 0.178 -3.454
0.655 -7.919 -1.009
-5.900 1.578 5.492
ATOMIC_POSITIONS crystal
Ac 0.500 0.257 0.235
Ac 0.500 0.743 0.765
Ac 0.000 0.267 0.773
Ac 0.000 0.733 0.227
Pb 0.000 0.000 0.000
S 0.500 0.500 0.000
Te 0.000 0.500 0.500
Te 0.500 0.000 0.500
```

ρ ... 8.01 Mg/m³
Raw formation energy ... -1380 meV/atom

(3)
The following is a DFT calculation (GGA-PBE) of crystalline Ac6Te3PbS2 at its relaxed geometry. Values from VASP.

The structure in Quantum ESPRESSO input format:
```
&SYSTEM
  ibrav = 0, nat = 12, ntyp = 4
/
ATOMIC_SPECIES
Ac 227.00 Ac.upf
S 32.06 S.upf
Te 127.60 Te.upf
Pb 207.20 Pb.upf
CELL_PARAMETERS angstrom
-2.114 2.968 2.822
-5.450 -6.870 3.143
9.176 -1.521 4.709
ATOMIC_POSITIONS crystal
Ac 0.012 0.253 0.024
Ac 0.668 0.109 0.335
Ac 0.332 0.891 0.665
Ac 0.325 0.434 0.650
Ac 0.675 0.566 0.350
Ac 0.988 0.747 0.976
S 0.831 0.663 0.661
S 0.169 0.337 0.339
Te 0.163 0.831 0.326
Te 0.837 0.169 0.674
Te 0.500 0.500 0.000
Pb 0.500 0.000 0.000
```

ρ ... 7.95 Mg/m³
Raw formation energy ... -1494 meV/atom

(4)
The following is a DFT calculation (GGA-PBE) of crystalline Ac8Te3Pb4S at its relaxed geometry. Values from VASP.

The structure in Quantum ESPRESSO input format:
```
&SYSTEM
  ibrav = 0, nat = 16, ntyp = 4
/
ATOMIC_SPECIES
Te 127.60 Te.upf
Pb 207.20 Pb.upf
Ac 227.00 Ac.upf
S 32.06 S.upf
CELL_PARAMETERS angstrom
-1.687 -0.360 -9.459
6.138 -7.223 -0.820
-7.321 -0.525 6.212
ATOMIC_POSITIONS crystal
Te 0.500 0.500 0.000
Te 0.000 0.500 0.500
Te 0.500 0.500 0.500
Pb 0.000 0.000 0.000
Pb 0.500 0.000 0.500
Pb 0.500 0.000 0.000
Pb 0.000 0.000 0.500
Ac 0.247 0.241 0.494
Ac 0.246 0.752 0.491
Ac 0.754 0.248 0.509
Ac 0.245 0.752 0.006
Ac 0.753 0.759 0.506
Ac 0.755 0.248 0.994
Ac 0.761 0.752 0.006
Ac 0.239 0.248 0.994
S 0.000 0.500 0.000
```

ρ ... 8.21 Mg/m³
Raw formation energy ... -1073 meV/atom

(5)
The following is a DFT calculation (GGA-PBE) of crystalline Ac4TePb2S at its relaxed geometry. Values from VASP.

The structure in Quantum ESPRESSO input format:
```
&SYSTEM
  ibrav = 0, nat = 8, ntyp = 4
/
ATOMIC_SPECIES
Pb 207.20 Pb.upf
Ac 227.00 Ac.upf
S 32.06 S.upf
Te 127.60 Te.upf
CELL_PARAMETERS angstrom
-4.604 1.027 0.336
-0.870 -1.230 -8.159
-1.262 -6.948 3.942
ATOMIC_POSITIONS crystal
Pb 0.500 0.000 0.500
Pb 0.000 0.500 0.500
Ac 0.500 0.236 0.242
Ac 0.000 0.240 0.750
Ac 0.500 0.764 0.758
Ac 0.000 0.760 0.250
S 0.000 0.000 0.000
Te 0.500 0.500 0.000
```

ρ ... 8.23 Mg/m³
Raw formation energy ... -1102 meV/atom

(6)
The following is a DFT calculation (GGA-PBE) of crystalline Ac2Tl3PbS6 at its relaxed geometry. Values from VASP.

The structure in Quantum ESPRESSO input format:
```
&SYSTEM
  ibrav = 0, nat = 12, ntyp = 4
/
ATOMIC_SPECIES
S 32.06 S.upf
Tl 204.38 Tl.upf
Pb 207.20 Pb.upf
Ac 227.00 Ac.upf
CELL_PARAMETERS angstrom
-3.175 -0.960 2.863
-5.609 -1.285 -6.651
5.560 -8.158 0.076
ATOMIC_POSITIONS crystal
S 0.325 0.440 0.651
S 0.996 0.763 0.992
S 0.659 0.094 0.317
S 0.675 0.560 0.349
S 0.004 0.237 0.008
S 0.341 0.906 0.683
Tl 0.166 0.833 0.332
Tl 0.500 0.500 0.000
Tl 0.834 0.167 0.668
Pb 0.500 0.000 0.000
Ac 0.164 0.325 0.328
Ac 0.836 0.675 0.672
```

ρ ... 6.78 Mg/m³
Raw formation energy ... -1086 meV/atom

(7)
The following is a DFT calculation (GGA-PBE) of crystalline Ac3Tl4PbS8 at its relaxed geometry. Values from VASP.

The structure in Quantum ESPRESSO input format:
```
&SYSTEM
  ibrav = 0, nat = 16, ntyp = 4
/
ATOMIC_SPECIES
S 32.06 S.upf
Tl 204.38 Tl.upf
Ac 227.00 Ac.upf
Pb 207.20 Pb.upf
CELL_PARAMETERS angstrom
-6.305 2.134 5.742
-6.074 -0.711 -6.406
5.377 -6.748 1.683
ATOMIC_POSITIONS crystal
S 0.263 0.279 0.021
S 0.242 0.721 0.979
S 0.242 0.721 0.484
S 0.261 0.284 0.523
S 0.739 0.716 0.477
S 0.737 0.721 0.979
S 0.758 0.279 0.021
S 0.758 0.279 0.516
Tl 0.000 0.000 0.000
Tl 0.000 0.000 0.500
Tl 0.500 0.000 0.500
Tl 0.500 0.000 0.000
Ac 0.500 0.500 0.000
Ac 0.000 0.500 0.500
Ac 0.500 0.500 0.500
Pb 0.000 0.500 0.000
```

ρ ... 6.71 Mg/m³
Raw formation energy ... -1186 meV/atom

(8)
The following is a DFT calculation (GGA-PBE) of crystalline AcTl2PbS4 at its relaxed geometry. Values from VASP.

The structure in Quantum ESPRESSO input format:
```
&SYSTEM
  ibrav = 0, nat = 8, ntyp = 4
/
ATOMIC_SPECIES
S 32.06 S.upf
Ac 227.00 Ac.upf
Pb 207.20 Pb.upf
Tl 204.38 Tl.upf
CELL_PARAMETERS angstrom
4.346 0.000 0.000
0.000 7.560 -0.139
0.000 2.671 7.005
ATOMIC_POSITIONS crystal
S 0.000 0.269 0.246
S 0.500 0.725 0.259
S 0.000 0.731 0.754
S 0.500 0.275 0.741
Ac 0.000 0.500 0.500
Pb 0.500 0.500 0.000
Tl 0.500 0.000 0.500
Tl 0.000 0.000 0.000
```

ρ ... 6.96 Mg/m³
Raw formation energy ... -884 meV/atom

(9)
The following is a DFT calculation (GGA-PBE) of crystalline Ac2TmPbS6 at its relaxed geometry. Values from VASP.

The structure in Quantum ESPRESSO input format:
```
&SYSTEM
  ibrav = 0, nat = 20, ntyp = 4
/
ATOMIC_SPECIES
S 32.06 S.upf
Pb 207.20 Pb.upf
Ac 227.00 Ac.upf
Tm 168.93 Tm.upf
CELL_PARAMETERS angstrom
-6.449 2.546 -0.835
0.596 -0.960 -7.529
-3.695 -9.366 0.902
ATOMIC_POSITIONS crystal
S 0.640 0.050 0.244
S 0.140 0.450 0.744
S 0.189 0.181 0.064
S 0.811 0.819 0.936
S 0.689 0.319 0.564
S 0.173 0.195 0.431
S 0.673 0.305 0.931
S 0.860 0.550 0.256
S 0.827 0.805 0.569
S 0.311 0.681 0.436
S 0.360 0.950 0.756
S 0.327 0.695 0.069
Pb 0.000 0.500 0.000
Pb 0.500 0.000 0.500
Ac 0.965 0.093 0.752
Ac 0.535 0.593 0.748
Ac 0.035 0.907 0.248
Ac 0.465 0.407 0.252
Tm 0.000 0.500 0.500
Tm 0.500 0.000 0.000
```

ρ ... 6.32 Mg/m³
Raw formation energy ... -1646 meV/atom

(10)
The following is a DFT calculation (GGA-PBE) of crystalline Ac2UPbS8 at its relaxed geometry. Values from VASP.

The structure in Quantum ESPRESSO input format:
```
&SYSTEM
  ibrav = 0, nat = 12, ntyp = 4
/
ATOMIC_SPECIES
Ac 227.00 Ac.upf
S 32.06 S.upf
U 238.03 U.upf
Pb 207.20 Pb.upf
CELL_PARAMETERS angstrom
6.884 0.053 -0.236
0.045 5.350 0.708
-0.312 1.074 8.562
ATOMIC_POSITIONS crystal
Ac 0.499 0.343 0.793
Ac 0.501 0.657 0.207
S 0.579 0.828 0.515
S 0.929 0.337 0.727
S 0.071 0.663 0.273
S 0.421 0.172 0.485
S 0.230 0.808 0.842
S 0.698 0.793 0.907
S 0.770 0.192 0.158
S 0.302 0.207 0.093
U 0.000 0.000 0.000
Pb 0.000 0.000 0.500
```

ρ ... 6.20 Mg/m³
Raw formation energy ... -1296 meV/atom

(11)
The following is a DFT calculation (GGA-PBE) of crystalline AcUPbS6 at its relaxed geometry. Values from VASP.

The structure in Quantum ESPRESSO input format:
```
&SYSTEM
  ibrav = 0, nat = 9, ntyp = 4
/
ATOMIC_SPECIES
S 32.06 S.upf
Pb 207.20 Pb.upf
U 238.03 U.upf
Ac 227.00 Ac.upf
CELL_PARAMETERS angstrom
-3.894 -1.794 4.150
-3.105 -4.380 -4.807
5.443 -2.397 4.070
ATOMIC_POSITIONS crystal
S 0.258 0.706 0.997
S 0.742 0.003 0.294
S 0.258 0.291 0.294
S 0.742 0.291 0.997
S 0.742 0.706 0.709
S 0.258 0.003 0.709
Pb 0.000 0.333 0.667
U 0.500 0.000 0.000
Ac 0.500 0.667 0.333
```

ρ ... 5.35 Mg/m³
Raw formation energy ... -1038 meV/atom

(12)
The following is a DFT calculation (GGA-PBE) of crystalline AcUPb2S6 at its relaxed geometry. Values from VASP.

The structure in Quantum ESPRESSO input format:
```
&SYSTEM
  ibrav = 0, nat = 10, ntyp = 4
/
ATOMIC_SPECIES
U 238.03 U.upf
S 32.06 S.upf
Pb 207.20 Pb.upf
Ac 227.00 Ac.upf
CELL_PARAMETERS angstrom
-6.993 -1.923 1.121
-2.229 -6.816 -1.563
-1.632 -4.732 5.726
ATOMIC_POSITIONS crystal
U 0.322 0.322 0.034
S 0.126 0.422 0.769
S 0.201 0.970 0.250
S 0.683 0.126 0.769
S 0.579 0.202 0.250
S 0.970 0.579 0.250
S 0.422 0.683 0.769
Pb 0.525 0.525 0.426
Pb 0.019 0.019 0.943
Ac 0.815 0.815 0.556
```

ρ ... 6.04 Mg/m³
Raw formation energy ... -1173 meV/atom

(13)
The following is a DFT calculation (GGA-PBE) of crystalline Ac2YPbS6 at its relaxed geometry. Values from VASP.

The structure in Quantum ESPRESSO input format:
```
&SYSTEM
  ibrav = 0, nat = 20, ntyp = 4
/
ATOMIC_SPECIES
Ac 227.00 Ac.upf
Y 88.91 Y.upf
S 32.06 S.upf
Pb 207.20 Pb.upf
CELL_PARAMETERS angstrom
7.009 0.000 -0.072
0.000 7.639 0.000
-0.042 0.000 10.167
ATOMIC_POSITIONS crystal
Ac 0.464 0.408 0.253
Ac 0.964 0.092 0.753
Ac 0.536 0.592 0.747
Ac 0.036 0.908 0.247
Y 0.500 0.000 0.000
Y 0.000 0.500 0.500
S 0.142 0.447 0.746
S 0.686 0.317 0.566
S 0.825 0.807 0.571
S 0.314 0.683 0.434
S 0.358 0.947 0.754
S 0.675 0.307 0.929
S 0.175 0.193 0.429
S 0.186 0.183 0.066
S 0.858 0.553 0.254
S 0.814 0.817 0.934
S 0.642 0.053 0.246
S 0.325 0.693 0.071
Pb 0.500 0.000 0.500
Pb 0.000 0.500 0.000
```

ρ ... 5.75 Mg/m³
Raw formation energy ... -1641 meV/atom

(14)
The following is a DFT calculation (GGA-PBE) of crystalline Ac2ZnPbS5 at its relaxed geometry. Values from VASP.

The structure in Quantum ESPRESSO input format:
```
&SYSTEM
  ibrav = 0, nat = 18, ntyp = 4
/
ATOMIC_SPECIES
S 32.06 S.upf
Ac 227.00 Ac.upf
Pb 207.20 Pb.upf
Zn 65.41 Zn.upf
CELL_PARAMETERS angstrom
-2.127 3.497 0.708
-6.002 -6.449 1.630
3.550 -0.270 12.002
ATOMIC_POSITIONS crystal
S 0.712 0.424 0.201
S 0.656 0.313 0.519
S 0.484 0.969 0.750
S 0.672 0.343 0.863
S 0.995 0.991 0.501
S 0.288 0.576 0.701
S 0.344 0.687 0.019
S 0.328 0.657 0.363
S 0.516 0.031 0.250
S 0.005 0.009 0.001
Ac 0.867 0.734 0.840
Ac 0.887 0.775 0.193
Ac 0.113 0.225 0.693
Ac 0.133 0.266 0.340
Pb 0.184 0.369 0.036
Pb 0.816 0.631 0.536
Zn 0.540 0.079 0.922
Zn 0.460 0.921 0.422
```

ρ ... 6.50 Mg/m³
Raw formation energy ... -1486 meV/atom

(15)
The following is a DFT calculation (GGA-PBE) of crystalline Ac2SbPb at its relaxed geometry. Values from VASP.

The structure in Quantum ESPRESSO input format:
```
&SYSTEM
  ibrav = 0, nat = 4, ntyp = 3
/
ATOMIC_SPECIES
Ac 227.00 Ac.upf
Sb 121.76 Sb.upf
Pb 207.20 Pb.upf
CELL_PARAMETERS angstrom
-3.097 -3.514 0.253
0.307 -3.153 3.460
-5.920 2.518 6.000
ATOMIC_POSITIONS crystal
Ac 0.746 0.746 0.762
Ac 0.254 0.254 0.238
Sb 0.000 0.000 0.000
Pb 0.500 0.500 0.500
```

ρ ... 8.15 Mg/m³
Relative energy among the computed polymorphs ... 1.64 kcal/mol of atoms
Raw formation energy ... -801 meV/atom

(16)
The following is a DFT calculation (GGA-PBE) of crystalline Ac2SbPb at its relaxed geometry. Values from VASP.

The structure in Quantum ESPRESSO input format:
```
&SYSTEM
  ibrav = 0, nat = 4, ntyp = 3
/
ATOMIC_SPECIES
Pb 207.20 Pb.upf
Sb 121.76 Sb.upf
Ac 227.00 Ac.upf
CELL_PARAMETERS angstrom
-2.483 5.069 1.524
-4.494 2.100 -3.094
-5.371 0.046 2.309
ATOMIC_POSITIONS crystal
Pb 0.000 0.000 0.000
Sb 0.500 0.500 0.500
Ac 0.250 0.250 0.250
Ac 0.750 0.750 0.750
```

ρ ... 9.20 Mg/m³
Relative energy among the computed polymorphs ... 5.12 kcal/mol of atoms
Raw formation energy ... -650 meV/atom

(17)
The following is a DFT calculation (GGA-PBE) of crystalline Ac2SbPb at its relaxed geometry. Values from VASP.

The structure in Quantum ESPRESSO input format:
```
&SYSTEM
  ibrav = 0, nat = 4, ntyp = 3
/
ATOMIC_SPECIES
Sb 121.76 Sb.upf
Ac 227.00 Ac.upf
Pb 207.20 Pb.upf
CELL_PARAMETERS angstrom
4.608 0.000 0.000
2.304 3.991 0.000
2.304 1.330 8.741
ATOMIC_POSITIONS crystal
Sb 0.499 0.499 0.503
Ac 0.086 0.086 0.743
Ac 0.248 0.248 0.257
Pb 0.668 0.668 0.997
```

ρ ... 8.09 Mg/m³
Relative energy among the computed polymorphs ... 4.06 kcal/mol of atoms
Raw formation energy ... -696 meV/atom

(18)
The following is a DFT calculation (GGA-PBE) of crystalline Ac8Sb5Pb at its relaxed geometry. Values from VASP.

The structure in Quantum ESPRESSO input format:
```
&SYSTEM
  ibrav = 0, nat = 14, ntyp = 3
/
ATOMIC_SPECIES
Ac 227.00 Ac.upf
Sb 121.76 Sb.upf
Pb 207.20 Pb.upf
CELL_PARAMETERS angstrom
-4.505 -6.599 -3.586
4.819 3.933 -6.164
5.260 -3.122 6.267
ATOMIC_POSITIONS crystal
Ac 0.629 0.891 0.873
Ac 0.763 0.248 0.373
Ac 0.125 0.752 0.515
Ac 0.627 0.391 0.875
Ac 0.982 0.109 0.739
Ac 0.485 0.609 0.237
Ac 0.261 0.244 0.371
Ac 0.127 0.756 0.018
Sb 0.872 0.873 0.250
Sb 0.750 0.622 0.623
Sb 0.001 0.378 0.128
Sb 0.377 0.127 0.999
Sb 0.500 0.000 0.500
Pb 0.250 0.500 0.750
```

ρ ... 8.45 Mg/m³
Raw formation energy ... -937 meV/atom

(19)
The following is a DFT calculation (GGA-PBE) of crystalline AcSbPb at its relaxed geometry. Values from VASP.

The structure in Quantum ESPRESSO input format:
```
&SYSTEM
  ibrav = 0, nat = 3, ntyp = 3
/
ATOMIC_SPECIES
Sb 121.76 Sb.upf
Pb 207.20 Pb.upf
Ac 227.00 Ac.upf
CELL_PARAMETERS angstrom
4.222 0.000 0.000
0.000 5.303 0.000
0.000 -2.652 4.593
ATOMIC_POSITIONS crystal
Sb 0.503 0.667 0.333
Pb 0.497 0.333 0.667
Ac 0.000 0.000 0.000
```

ρ ... 8.98 Mg/m³
Relative energy among the computed polymorphs ... 0.00 kcal/mol of atoms
Raw formation energy ... -509 meV/atom

(20)
The following is a DFT calculation (GGA-PBE) of crystalline Ac4Sb3Pb at its relaxed geometry. Values from VASP.

The structure in Quantum ESPRESSO input format:
```
&SYSTEM
  ibrav = 0, nat = 8, ntyp = 3
/
ATOMIC_SPECIES
Ac 227.00 Ac.upf
Sb 121.76 Sb.upf
Pb 207.20 Pb.upf
CELL_PARAMETERS angstrom
-5.194 3.386 -2.825
-4.183 -5.165 1.500
-1.396 2.878 6.016
ATOMIC_POSITIONS crystal
Ac 0.500 0.500 0.500
Ac 0.000 0.000 0.500
Ac 0.000 0.500 0.000
Ac 0.500 0.000 0.000
Sb 0.500 0.500 0.000
Sb 0.500 0.000 0.500
Sb 0.000 0.500 0.500
Pb 0.000 0.000 0.000
```

ρ ... 7.77 Mg/m³
Raw formation energy ... -999 meV/atom